(1)
Sr2Si2Pd: optimized geometry, PBE.

Results
space group = P4/mbm
size of the total moment = 0.0 μB/cell
raw total energy = -4.3162 eV per atom
ΔE_f (raw) = -0.436 eV/atom

Cell and atoms, written as POSCAR:
```
Sr2Si2Pd
1.0
6.873 0.000 0.000
0.000 6.873 0.000
0.000 0.000 4.921
Sr Si Pd
4 4 2
direct
0.171 0.671 0.500
0.671 0.829 0.500
0.829 0.329 0.500
0.329 0.171 0.500
0.368 0.868 0.000
0.868 0.632 0.000
0.632 0.132 0.000
0.132 0.368 0.000
0.000 0.000 0.000
0.500 0.500 0.000
```

=====

(2)
SrSi3Pd5: optimized geometry, PBE.

Results
space group = Cmcm
size of the total moment = 0.0 μB/cell
raw total energy = -5.5918 eV per atom
ΔE_f (raw) = -0.712 eV/atom

Cell and atoms, written as POSCAR:
```
SrSi3Pd5
1.0
-1.665 2.180 2.858
-3.271 -5.739 -0.273
8.087 -5.015 8.537
Sr Si Pd
2 6 10
direct
0.843 0.686 0.750
0.157 0.314 0.250
0.385 0.771 0.964
0.888 0.776 0.250
0.385 0.771 0.536
0.615 0.229 0.464
0.112 0.224 0.750
0.615 0.229 0.036
0.796 0.591 0.428
0.204 0.409 0.928
0.000 0.000 0.500
0.000 0.000 0.000
0.447 0.893 0.145
0.553 0.107 0.855
0.553 0.107 0.645
0.796 0.591 0.072
0.204 0.409 0.572
0.447 0.893 0.355
```

=====

(3)
SrSiPd3: optimized geometry, PBE.

Results
space group = Imma
size of the total moment = 0.0 μB/cell
energy above the most stable polymorph in this dataset = 0.00 kJ per mole of atoms
raw total energy = -5.2238 eV per atom
ΔE_f (raw) = -0.687 eV/atom

Cell and atoms, written as POSCAR:
```
SrSiPd3
1.0
5.815 0.000 0.000
0.000 7.671 0.000
-2.908 -3.836 4.606
Sr Si Pd
2 2 6
direct
0.250 0.297 0.500
0.750 0.703 0.500
0.000 0.500 0.000
0.500 0.000 0.000
0.723 0.223 0.946
0.223 0.223 0.946
0.777 0.777 0.054
0.277 0.777 0.054
0.250 0.849 0.500
0.750 0.151 0.500
```

=====

(4)
Sr2Si6Pd21: optimized geometry, PBE.

Results
space group = Fm-3m
size of the total moment = 0.0 μB/cell
raw total energy = -5.6307 eV per atom
ΔE_f (raw) = -0.632 eV/atom

Cell and atoms, written as POSCAR:
```
Sr2Si6Pd21
1.0
0.026 -2.514 8.359
7.014 -3.981 3.338
5.034 4.159 5.792
Sr Si Pd
2 6 21
direct
0.750 0.750 0.750
0.250 0.250 0.250
0.266 0.734 0.266
0.734 0.266 0.266
0.734 0.734 0.266
0.734 0.266 0.734
0.266 0.734 0.734
0.266 0.266 0.734
0.000 0.000 0.000
0.614 0.614 0.159
0.614 0.614 0.614
0.614 0.159 0.614
0.159 0.614 0.614
0.386 0.386 0.841
0.386 0.386 0.386
0.386 0.841 0.386
0.841 0.386 0.386
0.657 0.000 0.343
0.000 0.657 0.343
0.000 0.000 0.343
0.000 0.657 0.000
0.657 0.000 0.000
0.000 0.000 0.657
0.000 0.343 0.000
0.000 0.343 0.657
0.657 0.343 0.000
0.343 0.000 0.657
0.343 0.000 0.000
0.343 0.657 0.000
```

=====

(5)
Sr2SiPd: optimized geometry, PBE.

Results
space group = R3m
size of the total moment = 0.0 μB/cell
raw total energy = -4.0773 eV per atom
ΔE_f (raw) = -0.582 eV/atom

Cell and atoms, written as POSCAR:
```
Sr2SiPd
1.0
-0.295 1.167 4.179
-3.901 0.342 1.892
-1.018 -7.332 4.238
Sr Si Pd
2 1 1
direct
0.885 0.649 0.581
0.720 0.482 0.077
0.469 0.232 0.829
0.136 0.899 0.830
```

=====

(6)
Sr2SiPd: optimized geometry, PBE.

Results
space group = I-42d
size of the total moment = 0.0 μB/cell
raw total energy = -3.5160 eV per atom
ΔE_f (raw) = -0.021 eV/atom

Cell and atoms, written as POSCAR:
```
Sr2SiPd
1.0
-4.963 3.072 -5.894
-6.524 -0.843 5.054
-5.226 4.227 0.767
Sr Si Pd
4 2 2
direct
0.643 0.125 0.250
0.107 0.625 0.250
0.375 0.357 0.750
0.875 0.893 0.750
0.500 0.500 0.000
0.250 0.750 0.500
0.000 0.000 0.000
0.750 0.250 0.500
```

=====

(7)
SrSiPd2: optimized geometry, PBE.

Results
space group = Pnma
size of the total moment = 0.0 μB/cell
raw total energy = -5.0954 eV per atom
ΔE_f (raw) = -0.723 eV/atom

Cell and atoms, written as POSCAR:
```
SrSiPd2
1.0
5.856 0.000 0.000
0.000 6.955 0.000
0.000 0.000 7.672
Sr Si Pd
4 4 8
direct
0.369 0.250 0.023
0.869 0.750 0.477
0.631 0.750 0.977
0.131 0.250 0.523
0.635 0.250 0.372
0.135 0.750 0.128
0.365 0.750 0.628
0.865 0.250 0.872
0.900 0.055 0.165
0.400 0.945 0.335
0.100 0.555 0.835
0.600 0.445 0.665
0.100 0.945 0.835
0.600 0.055 0.665
0.900 0.445 0.165
0.400 0.555 0.335
```

=====

(8)
Sr2SiTePd: optimized geometry, PBE.

Results
space group = P4/mmm
size of the total moment = 0.0 μB/cell
raw total energy = -4.1880 eV per atom
ΔE_f (raw) = -0.764 eV/atom

Cell and atoms, written as POSCAR:
```
Sr2SiTePd
1.0
-0.726 5.781 1.170
-0.280 -1.211 5.811
4.481 0.498 0.320
Sr Si Te Pd
2 1 1 1
direct
0.000 0.500 0.000
0.500 0.000 0.000
0.000 0.000 0.500
0.500 0.500 0.500
0.000 0.000 0.000
```

=====

(9)
Sr2TlSiPd: optimized geometry, PBE.

Results
space group = P4/mmm
size of the total moment = 0.0 μB/cell
raw total energy = -3.6457 eV per atom
ΔE_f (raw) = -0.377 eV/atom

Cell and atoms, written as POSCAR:
```
Sr2TlSiPd
1.0
-1.132 5.266 2.366
-5.630 -1.541 0.735
1.004 -1.669 4.195
Sr Tl Si Pd
2 1 1 1
direct
0.000 0.500 0.000
0.500 0.000 0.000
0.500 0.500 0.500
0.000 0.000 0.500
0.000 0.000 0.000
```

=====

(10)
SrZnSiPd3: optimized geometry, PBE.

Results
space group = Cmcm
size of the total moment = 0.0 μB/cell
raw total energy = -4.4959 eV per atom
ΔE_f (raw) = -0.503 eV/atom

Cell and atoms, written as POSCAR:
```
SrZnSiPd3
1.0
6.018 0.000 0.000
0.000 5.810 0.000
0.000 -2.905 7.483
Sr Zn Si Pd
2 2 2 6
direct
0.750 0.211 0.423
0.250 0.789 0.577
0.250 0.396 0.792
0.750 0.604 0.208
0.250 0.074 0.147
0.750 0.926 0.853
0.250 0.229 0.457
0.000 0.253 0.000
0.500 0.747 0.000
0.500 0.253 0.000
0.000 0.747 0.000
0.750 0.771 0.543
```

=====

(11)
Sr2Zn4Si3Pd: optimized geometry, PBE.

Results
space group = P-4m2
size of the total moment = 0.0 μB/cell
raw total energy = -3.3523 eV per atom
ΔE_f (raw) = -0.360 eV/atom

Cell and atoms, written as POSCAR:
```
Sr2Zn4Si3Pd
1.0
-3.149 1.144 -2.701
1.209 -3.104 -2.725
-6.545 -6.741 4.775
Sr Zn Si Pd
2 4 3 1
direct
0.500 0.000 0.251
0.000 0.500 0.749
0.500 0.500 0.000
0.000 0.000 0.000
0.500 0.000 0.630
0.000 0.500 0.370
0.000 0.000 0.500
0.500 0.000 0.866
0.000 0.500 0.134
0.500 0.500 0.500
```

=====

(12)
SrZn4SiPd2: optimized geometry, PBE.

Results
space group = R-3m
size of the total moment = 0.0 μB/cell
raw total energy = -3.0541 eV per atom
ΔE_f (raw) = -0.231 eV/atom

Cell and atoms, written as POSCAR:
```
SrZn4SiPd2
1.0
-3.326 -1.056 -2.554
-1.179 -4.140 -0.413
-7.335 -0.790 6.218
Sr Zn Si Pd
1 4 1 2
direct
0.000 0.000 0.000
0.407 0.407 0.779
0.871 0.871 0.386
0.129 0.129 0.614
0.593 0.593 0.221
0.500 0.500 0.500
0.766 0.766 0.702
0.234 0.234 0.298
```

=====

(13)
SrZn2SiPd: optimized geometry, PBE.

Results
space group = Imm2
size of the total moment = 0.0 μB/cell
raw total energy = -3.4311 eV per atom
ΔE_f (raw) = -0.462 eV/atom

Cell and atoms, written as POSCAR:
```
SrZn2SiPd
1.0
-3.272 -2.929 -0.365
2.278 -2.167 -3.038
2.654 -0.318 5.362
Sr Zn Si Pd
1 2 1 1
direct
0.442 0.442 0.884
0.694 0.194 0.387
0.059 0.059 0.119
0.812 0.812 0.624
0.205 0.705 0.410
```

=====

(14)
SrZnSi2Pd: optimized geometry, PBE.

Results
space group = I-4m2
size of the total moment = 0.0 μB/cell
raw total energy = -4.3410 eV per atom
ΔE_f (raw) = -0.542 eV/atom

Cell and atoms, written as POSCAR:
```
SrZnSi2Pd
1.0
-3.985 1.476 0.254
-0.742 -1.320 -3.978
0.780 -4.666 3.680
Sr Zn Si Pd
1 1 2 1
direct
0.000 0.000 0.000
0.250 0.750 0.500
0.616 0.616 0.232
0.384 0.384 0.768
0.750 0.250 0.500
```

=====

(15)
TaSiPd3: optimized geometry, PBE.

Results
space group = Pm-3m
size of the total moment = 0.0 μB/cell
energy above the most stable polymorph in this dataset = 71.56 kJ per mole of atoms
raw total energy = -5.4718 eV per atom
ΔE_f (raw) = 1.099 eV/atom

Cell and atoms, written as POSCAR:
```
TaSiPd3
1.0
4.843 0.000 0.000
0.000 4.843 0.000
0.000 0.000 4.843
Si Pd Ta
1 3 1
direct
0.500 0.500 0.500
0.000 0.500 0.000
0.000 0.000 0.500
0.500 0.000 0.000
0.000 0.000 0.000
```

=====

(16)
TaSi2Pd2: optimized geometry, PBE.

Results
space group = P4/mbm
size of the total moment = 0.0 μB/cell
raw total energy = -6.9828 eV per atom
ΔE_f (raw) = -0.366 eV/atom

Cell and atoms, written as POSCAR:
```
TaSi2Pd2
1.0
7.170 0.000 0.000
0.000 7.170 0.000
0.000 0.000 2.899
Si Pd Ta
4 4 2
direct
0.348 0.848 0.000
0.848 0.652 0.000
0.652 0.152 0.000
0.152 0.348 0.000
0.144 0.644 0.500
0.644 0.856 0.500
0.856 0.356 0.500
0.356 0.144 0.500
0.000 0.000 0.000
0.500 0.500 0.000
```

=====

(17)
Ta4SiPd2: optimized geometry, PBE.

Results
space group = I4/mmm
size of the total moment = 0.0 μB/cell
raw total energy = -8.4285 eV per atom
ΔE_f (raw) = 0.603 eV/atom

Cell and atoms, written as POSCAR:
```
Ta4SiPd2
1.0
4.583 0.000 0.000
0.000 4.583 0.000
2.292 2.292 6.540
Si Pd Ta
1 2 4
direct
0.000 0.000 0.000
0.623 0.623 0.754
0.377 0.377 0.246
0.815 0.815 0.370
0.185 0.185 0.630
0.000 0.500 0.000
0.500 0.000 0.000
```

=====

(18)
Ta3SiPd: optimized geometry, PBE.

Results
space group = Pm-3m
size of the total moment = 0.0 μB/cell
energy above the most stable polymorph in this dataset = 0.00 kJ per mole of atoms
raw total energy = -8.4856 eV per atom
ΔE_f (raw) = 0.749 eV/atom

Cell and atoms, written as POSCAR:
```
Ta3SiPd
1.0
-1.766 -0.029 4.256
3.777 -2.135 1.553
1.963 4.083 0.842
Si Pd Ta
1 1 3
direct
0.000 0.000 0.000
0.500 0.500 0.500
0.000 0.500 0.000
0.000 0.000 0.500
0.500 0.000 0.000
```

=====

(19)
Ta2Si2Pd: optimized geometry, PBE.

Results
space group = P4/mbm
size of the total moment = 0.0 μB/cell
raw total energy = -8.4307 eV per atom
ΔE_f (raw) = -0.482 eV/atom

Cell and atoms, written as POSCAR:
```
Ta2Si2Pd
1.0
6.438 0.000 0.000
0.000 6.438 0.000
0.000 0.000 3.685
Si Pd Ta
4 2 4
direct
0.372 0.872 0.000
0.872 0.628 0.000
0.628 0.128 0.000
0.128 0.372 0.000
0.000 0.000 0.000
0.500 0.500 0.000
0.172 0.672 0.500
0.672 0.828 0.500
0.828 0.328 0.500
0.328 0.172 0.500
```

=====

(20)
TaSiPd2: optimized geometry, PBE.

Results
space group = I-42d
size of the total moment = 0.0 μB/cell
raw total energy = -7.0604 eV per atom
ΔE_f (raw) = -0.145 eV/atom

Cell and atoms, written as POSCAR:
```
TaSiPd2
1.0
3.820 0.000 0.000
0.000 3.820 0.000
1.910 1.910 9.056
Si Pd Ta
2 4 2
direct
0.500 0.500 0.000
0.250 0.750 0.500
0.615 0.125 0.250
0.135 0.625 0.250
0.375 0.385 0.750
0.875 0.865 0.750
0.000 0.000 0.000
0.750 0.250 0.500
```